Computed, not measured: a geometry-optimized CdSn2Hg7 structure at the PBE level of DFT.

energy of formation from the pure elements = 0.06 eV/atom
magnetization = 0.0 μB/f.u.
calculated total energy = -1.046 eV per atom
D(E_F) = 0.29 states/eV per atom

Geometry as POSCAR:
```
CdSn2Hg7
1.0
3.051 0.000 0.000
-0.006 9.325 0.000
-0.113 -3.196 10.258
Cd Sn Hg
1 2 7
Direct
0.000 0.000 0.000
0.493 0.395 0.706
0.507 0.605 0.294
0.490 0.144 0.447
0.494 0.734 0.795
0.499 0.873 0.197
0.500 0.500 0.000
0.501 0.127 0.803
0.506 0.266 0.205
0.510 0.856 0.553
```


Computed, not measured: a geometry-optimized YErBiS2 structure at the PBE level of DFT.

magnetization = 0.0 μB/f.u.
calculated total energy = -5.910 eV per atom
raw formation energy = -1277 meV/atom
D(E_F) = 0.79 states/eV per atom

Geometry as POSCAR:
```
YErBiS2
1.0
-2.252 2.252 6.829
2.252 -2.252 6.829
2.252 2.252 -6.829
Y Er Bi S
1 1 1 2
Direct
0.000 0.000 0.000
0.706 0.706 0.000
0.353 0.353 0.000
0.105 0.605 0.500
0.605 0.105 0.500
```


Computed, not measured: a geometry-optimized CaHg5 structure at the PBE level of DFT.

energy of formation from the pure elements = -0.25 eV/atom
relative energy among the computed polymorphs = 0.1 kJ per mole of atoms
magnetization = 0.0 μB/f.u.
calculated total energy = -0.839 eV per atom
D(E_F) = 0.35 states/eV per atom

Geometry as POSCAR:
```
CaHg5
1.0
2.365 -6.992 0.000
2.365 6.992 0.000
0.000 0.000 4.692
Ca Hg
1 5
Direct
0.000 0.000 0.000
0.165 0.835 0.500
0.334 0.666 0.000
0.500 0.500 0.500
0.666 0.334 0.000
0.835 0.165 0.500
```